# 1
Below is Li23ZnAg6 after structural relaxation, with properties calculated at the GGA-PBE level.

Properties
The volume comes out at 17.8 A^3/atom. The formation energy comes out at -236 kJ/mol of formula units.

Unit cell a=12.8760 b=12.8760 c=12.8760 alpha=90.00 beta=90.00 gamma=90.00
Space group Fm-3m (No. 225)
Unique sites:
Li 0.0000 0.0000 0.0000 x4
Li 0.0000 0.2500 0.2500 x24
Li 0.1220 0.1220 0.3780 x32
Li 0.1264 0.1264 0.1264 x32
Zn 0.0000 0.0000 0.5000 x4
Ag 0.0000 0.0000 0.2500 x24

---

# 2
Below is K5C after structural relaxation, with properties calculated at the GGA-PBE level.

Properties
The volume comes out at 60.2 A^3/atom. The formation energy comes out at 444 kJ/mol of formula units.

Unit cell a=9.9103 b=9.9103 c=4.2473 alpha=90.00 beta=90.00 gamma=120.00
Space group P-62m (No. 189)
Unique sites:
K 0.0000 0.7878 0.0000 x3
K 0.3333 0.6667 0.5000 x2
C 0.0000 0.0000 0.5000 x1

---

# 3
Below is Ac2AlTePd6 after structural relaxation, with properties calculated at the GGA-PBE level.

Properties
The volume comes out at 22.4 A^3/atom. The formation energy from raw total energies comes out at -7.7 eV/f.u.

Unit cell a=5.5920 b=6.7743 c=7.0597 alpha=79.27 beta=66.69 gamma=65.70
Space group P-1 (No. 2)
Unique sites:
Ac 0.2489 0.2758 0.2260 x2
Al 0.5000 0.5000 0.5000 x1
Te 0.0000 0.0000 0.0000 x1
Pd 0.2449 0.2728 0.7397 x2
Pd 0.2552 0.9073 0.5828 x2
Pd 0.2559 0.7268 0.2613 x2

---

# 4
Below is Li2MgSnP after structural relaxation, with properties calculated at the GGA-PBE level.

Properties
The volume comes out at 23.6 A^3/atom. The formation energy comes out at -57 kJ/mol of formula units.

Unit cell a=4.6015 b=4.6015 c=5.5723 alpha=90.00 beta=90.00 gamma=90.00
Space group P4/mmm (No. 123)
Unique sites:
Li 0.0000 0.5000 0.0000 x2
Mg 0.0000 0.0000 0.5000 x1
Sn 0.5000 0.5000 0.5000 x1
P 0.5000 0.5000 0.0000 x1

---

# 5
Below is TaBe2Si after structural relaxation, with properties calculated at the GGA-PBE level.

Properties
The volume comes out at 12.5 A^3/atom. The formation energy from raw total energies comes out at -0.3 eV/f.u.

Unit cell a=2.8184 b=3.7808 c=4.7110 alpha=90.00 beta=90.00 gamma=90.00
Space group Pmmm (No. 47)
Unique sites:
Ta 0.0000 0.0000 0.0000 x1
Be 0.5000 0.5000 0.2299 x2
Si 0.5000 0.0000 0.5000 x1

---

# 6
Below is CaMgSb3 after structural relaxation, with properties calculated at the GGA-PBE level.

Properties
The volume comes out at 31.8 A^3/atom. The formation energy from raw total energies comes out at 0.2 eV/f.u.

Unit cell a=5.4192 b=5.4192 c=5.4192 alpha=90.00 beta=90.00 gamma=90.00
Space group Pm-3m (No. 221)
Unique sites:
Ca 0.0000 0.0000 0.0000 x1
Mg 0.5000 0.5000 0.5000 x1
Sb 0.0000 0.5000 0.5000 x3

---

# 7
Below is K2HfScSe4 after structural relaxation, with properties calculated at the GGA-PBE level.

Properties
The volume comes out at 25.9 A^3/atom. The formation energy from raw total energies comes out at -11.6 eV/f.u.

Unit cell a=6.8533 b=3.9384 c=8.0181 alpha=90.00 beta=106.43 gamma=90.00
Space group P2/m (No. 10)
Unique sites:
K 0.0000 0.0000 0.0000 x1
K 0.5000 0.5000 0.0000 x1
Hf 0.0000 0.5000 0.5000 x1
Sc 0.5000 0.0000 0.5000 x1
Se 0.2296 0.0000 0.6991 x2
Se 0.2638 0.5000 0.3015 x2

---

# 8
Below is Be8Ru after structural relaxation, with properties calculated at the GGA-PBE level.

Properties
The volume comes out at 9.1 A^3/atom. The formation energy comes out at -108 kJ/mol of formula units.

Unit cell a=4.1614 b=4.1614 c=10.9809 alpha=90.00 beta=90.00 gamma=120.00
Space group P-6m2 (No. 187)
Unique sites:
Be 0.0000 0.0000 0.0000 x1
Be 0.0000 0.0000 0.3435 x2
Be 0.1670 0.3341 0.1825 x6
Be 0.3333 0.6667 0.3716 x2
Be 0.3412 0.1706 0.5000 x3
Be 0.6667 0.3333 0.0965 x2
Ru 0.6667 0.3333 0.3066 x2